This record from Alexandria via LeMat-Bulk describes HPd5Pb after structural relaxation. The functional is PBE.

## Properties
electronic total energy: -66.22 eV per cell

Unit cell a=6.204 b=6.204 c=7.587 alpha=63.67 beta=63.67 gamma=88.43
Sites, in units of the cell vectors:
1 Pd 0.516 0.268 0.978
2 Pd 0.900 0.100 0.750
3 Pd 0.896 0.678 0.717
4 Pd 0.322 0.104 0.783
5 Pd 0.268 0.516 0.478
6 Pd 0.484 0.732 0.022
7 Pd 0.732 0.484 0.522
8 Pd 0.104 0.322 0.283
9 Pd 0.678 0.896 0.217
10 Pd 0.100 0.900 0.250
11 H 0.000 0.000 0.000
12 H 0.000 0.000 0.500
13 Pb 0.671 0.329 0.250
14 Pb 0.329 0.671 0.750

=====

This record from Alexandria via LeMat-Bulk describes ScRu3 after structural relaxation. The functional is PBE.

## Properties
DFT formation energy: -0.05 eV per atom
electronic total energy: -68.72 eV per cell

Unit cell a=8.533 b=8.533 c=8.533 alpha=153.70 beta=153.70 gamma=37.53
Sites, in units of the cell vectors:
1 Ru 0.250 0.750 0.500
2 Ru 0.131 0.131 0.000
3 Ru 0.750 0.250 0.500
4 Ru 0.869 0.869 0.000
5 Ru 0.000 0.500 0.500
6 Ru 0.500 0.000 0.500
7 Sc 0.620 0.620 0.000
8 Sc 0.380 0.380 0.000

=====

This record from Alexandria via LeMat-Bulk describes Pr2Dy after structural relaxation. The functional is PBE.

## Properties
DFT formation energy: 0.68 eV per atom
offset from the most stable computed form: 656.8 meV/atom
electronic total energy: -12.12 eV per cell

Unit cell a=5.556 b=5.556 c=5.568 alpha=119.93 beta=119.92 gamma=90.00
Sites, in units of the cell vectors:
1 Pr 0.750 0.250 0.500
2 Pr 0.250 0.750 0.500
3 Dy 0.000 0.000 0.000

=====

This record from Alexandria via LeMat-Bulk describes PmAl2GaPd after structural relaxation. The functional is PBE.

## Properties
DFT formation energy: -0.68 eV per atom
electronic total energy: -23.88 eV per cell

Unit cell a=4.207 b=4.108 c=6.304 alpha=109.01 beta=109.49 gamma=90.00
Sites, in units of the cell vectors:
1 Al 0.694 0.194 0.388
2 Al 0.057 0.057 0.114
3 Pd 0.190 0.690 0.380
4 Ga 0.832 0.832 0.665
5 Pm 0.438 0.438 0.877

=====

This record from Alexandria via LeMat-Bulk describes Mg5Si6 after structural relaxation. The functional is PBE.

## Properties
formation energy from raw total energies: 0.08 eV/atom
offset from the most stable computed form: 55.1 meV/atom
electronic total energy: -79.26 eV per cell

Unit cell a=4.336 b=7.408 c=12.812 alpha=96.49 beta=91.01 gamma=92.37
Sites, in units of the cell vectors:
1 Mg 0.437 0.989 0.032
2 Mg 0.972 0.254 0.913
3 Mg 0.961 0.072 0.664
4 Mg 0.951 0.281 0.169
5 Mg 0.438 0.937 0.475
6 Mg 0.912 0.817 0.858
7 Mg 0.926 0.655 0.060
8 Mg 0.955 0.655 0.337
9 Mg 0.026 0.505 0.696
10 Mg 0.955 0.270 0.446
11 Si 0.453 0.282 0.584
12 Si 0.529 0.328 0.770
13 Si 0.235 0.052 0.287
14 Si 0.407 0.581 0.901
15 Si 0.451 0.552 0.492
16 Si 0.683 0.896 0.220
17 Si 0.470 0.787 0.675
18 Si 0.473 0.374 0.040
19 Si 0.405 0.584 0.195
20 Si 0.430 0.030 0.819
21 Si 0.944 0.732 0.551
22 Si 0.487 0.372 0.321

=====

This record from Alexandria via LeMat-Bulk describes YPtCI2 after structural relaxation. The functional is PBE.

## Properties
formation energy from raw total energies: 1.27 eV/atom
electronic total energy: -18.50 eV per cell

Unit cell a=5.994 b=5.340 c=5.994 alpha=90.00 beta=90.00 gamma=90.00
Each line ends with the local moment (μB).
Sites, in units of the cell vectors:
1 I 0.500 0.000 0.000  -0.01
2 I 0.000 0.000 0.500  -0.01
3 Pt 0.000 0.500 0.000  -0.33
4 Y 0.000 0.000 0.000  -0.01
5 C 0.500 0.500 0.500  0.92

=====

This record from Alexandria via LeMat-Bulk describes Zr2TiGa after structural relaxation. The functional is PBE.

## Properties
DFT formation energy: -0.30 eV per atom
electronic total energy: -29.23 eV per cell

Unit cell a=4.163 b=4.304 c=4.304 alpha=90.00 beta=90.00 gamma=90.00
Sites, in units of the cell vectors:
1 Ga 0.500 0.000 0.000
2 Zr 0.000 0.000 0.500
3 Zr 0.000 0.500 0.000
4 Ti 0.500 0.500 0.500

=====

This record from Alexandria via LeMat-Bulk describes Rb2PtN2 after structural relaxation. The functional is PBE.

## Properties
formation energy from raw total energies: 1.46 eV/atom
offset from the most stable computed form: 0.0 meV/atom
electronic total energy: -17.34 eV per cell

Unit cell a=2.978 b=2.978 c=10.555 alpha=81.89 beta=81.89 gamma=90.00
Sites, in units of the cell vectors:
1 Rb 0.632 0.632 0.736
2 Rb 0.368 0.368 0.264
3 N 0.250 0.750 0.500
4 N 0.750 0.250 0.500
5 Pt 0.000 0.000 0.000